(1)
A plane-wave DFT calculation with GGA-PBE was carried out for an optimized crystal structure of CeHo3Te4.

Calculated values
Raw formation energy: -1273 meV/atom
Relative energy among the computed polymorphs: 5 meV per atom

POSCAR file:
```
CeHo3Te4
1.0
6.186 0.000 0.000
0.000 6.186 0.000
0.000 0.000 12.371
Ce Ho Te
2 6 8
direct
0.000 0.000 0.000
0.500 0.500 0.500
0.000 0.000 0.500
0.000 0.500 0.250
0.000 0.500 0.750
0.500 0.000 0.250
0.500 0.000 0.750
0.500 0.500 0.000
0.000 0.000 0.254
0.000 0.000 0.746
0.000 0.500 0.000
0.000 0.500 0.500
0.500 0.000 0.000
0.500 0.000 0.500
0.500 0.500 0.246
0.500 0.500 0.754
```

=====

(2)
A plane-wave DFT calculation with GGA-PBE was carried out for an optimized crystal structure of SmEr2Au2.

POSCAR file:
```
SmEr2Au2
1.0
8.185 0.000 0.000
0.000 8.185 0.000
0.000 0.000 3.781
Sm Er Au
2 4 4
direct
0.000 0.000 0.000
0.500 0.500 0.000
0.161 0.339 0.500
0.339 0.839 0.500
0.661 0.161 0.500
0.839 0.661 0.500
0.132 0.632 0.000
0.368 0.132 0.000
0.632 0.868 0.000
0.868 0.368 0.000
```

=====

(3)
A plane-wave DFT calculation with GGA-PBE was carried out for an optimized crystal structure of Ni2AgCl.

Calculated values
Raw formation energy: 213 meV/atom
Relative energy among the computed polymorphs: 67 meV per atom

POSCAR file:
```
Ni2AgCl
1.0
11.065 0.000 0.000
0.000 2.892 0.000
-0.105 0.000 4.478
Ni Ag Cl
4 2 2
direct
0.000 0.000 0.000
0.171 0.500 0.007
0.500 0.500 0.000
0.671 0.000 0.007
0.119 0.000 0.509
0.619 0.500 0.509
0.344 0.000 0.070
0.844 0.500 0.070
```

=====

(4)
A plane-wave DFT calculation with GGA-PBE was carried out for an optimized crystal structure of MgZrSe2.

Calculated values
Raw formation energy: -36 meV/atom

POSCAR file:
```
MgZrSe2
1.0
6.962 0.000 0.000
0.000 6.962 0.000
0.000 0.000 6.962
Mg Zr Se
4 4 8
direct
0.000 0.000 0.000
0.000 0.500 0.500
0.500 0.000 0.500
0.500 0.500 0.000
0.250 0.250 0.250
0.250 0.750 0.750
0.750 0.250 0.750
0.750 0.750 0.250
0.000 0.000 0.500
0.000 0.500 0.000
0.250 0.250 0.750
0.250 0.750 0.250
0.500 0.000 0.000
0.500 0.500 0.500
0.750 0.250 0.250
0.750 0.750 0.750
```

=====

(5)
A plane-wave DFT calculation with GGA-PBE was carried out for an optimized crystal structure of RbCoS2.

Calculated values
Raw formation energy: -633 meV/atom

POSCAR file:
```
RbCoS2
1.0
6.921 0.000 0.000
0.000 6.921 0.000
0.000 0.000 7.994
Rb Co S
4 4 8
direct
0.000 0.000 0.000
0.000 0.500 0.250
0.500 0.000 0.750
0.500 0.500 0.500
0.000 0.000 0.500
0.000 0.500 0.750
0.500 0.000 0.250
0.500 0.500 0.000
0.110 0.250 0.625
0.250 0.610 0.875
0.250 0.890 0.375
0.390 0.250 0.125
0.610 0.750 0.125
0.750 0.110 0.375
0.750 0.390 0.875
0.890 0.750 0.625
```

=====

(6)
A plane-wave DFT calculation with GGA-PBE was carried out for an optimized crystal structure of DyTiTl2.

POSCAR file:
```
DyTiTl2
1.0
3.701 0.000 0.000
0.000 3.701 0.000
0.000 0.000 6.970
Dy Ti Tl
1 1 2
direct
0.000 0.000 0.000
0.000 0.000 0.500
0.500 0.500 0.275
0.500 0.500 0.725
```

=====

(7)
A plane-wave DFT calculation with GGA-PBE was carried out for an optimized crystal structure of La2CdInO.

Calculated values
Raw formation energy: -1216 meV/atom

POSCAR file:
```
La2CdInO
1.0
4.940 0.000 0.000
0.000 4.940 0.000
0.000 0.000 5.130
La Cd In O
2 1 1 1
direct
0.000 0.500 0.000
0.500 0.000 0.000
0.000 0.000 0.500
0.500 0.500 0.500
0.000 0.000 0.000
```

=====

(8)
A plane-wave DFT calculation with GGA-PBE was carried out for an optimized crystal structure of Nd3Ho4Er3.

POSCAR file:
```
Nd3Ho4Er3
1.0
3.681 0.000 0.000
0.000 6.633 6.673
0.000 -6.633 6.673
Nd Ho Er
3 4 3
direct
0.000 0.000 0.000
0.000 0.498 0.846
0.000 0.846 0.498
0.500 0.051 0.300
0.500 0.300 0.051
0.500 0.546 0.546
0.500 0.799 0.799
0.000 0.347 0.347
0.500 0.175 0.667
0.500 0.667 0.175
```

=====

Calculated N(E_F) (states/eV/atom), listed in the same order as above: 1.117; 1.155; 1.384; 0.739; 0.071; 0.888; 0.545; 0.761
Calculated calculated total energy (eV per atom), listed in the same order as above: -5.30; -4.78; -3.85; -4.31; -4.71; -4.34; -4.91; -4.53